# Pu3Hg2Au6

An optimized crystal structure of Pu3Hg2Au6 (PBE, Alexandria via LeMat-Bulk).

a b c (Å): 4.2161 4.2161 14.8707
angles (deg): 98.15 98.15 90.00
Each line ends with the local moment (μB).
Sites, in units of the cell vectors:
Au  0.3811  0.8811  0.7622  0.01
Au  0.8811  0.3811  0.7622  0.01
Au  0.3104  0.3104  0.6208  0.00
Au  0.1189  0.6189  0.2378  0.01
Au  0.6189  0.1189  0.2378  0.01
Au  0.6896  0.6896  0.3792  0.00
Pu  0.2052  0.2052  0.4105  5.27
Pu  0.7948  0.7948  0.5895  5.27
Pu  0.0000  0.0000  0.0000  -5.58
Hg  0.4489  0.4489  0.8978  -0.01
Hg  0.5511  0.5511  0.1022  -0.01

DFT formation energy ... -0.1943 eV per atom
Size of the total moment ... 5.1 μB per formula unit
Electronic total energy ... -65.40 eV/cell

# Si3RhN

An optimized crystal structure of Si3RhN (PBE, Alexandria via LeMat-Bulk).

a b c (Å): 3.9514 3.9514 3.9514
angles (deg): 90.00 90.00 90.00
Sites, in units of the cell vectors:
Si  0.5000  0.0000  0.0000
Si  0.0000  0.5000  0.0000
Si  0.0000  0.0000  0.5000
Rh  0.5000  0.5000  0.5000
N  0.0000  0.0000  0.0000

Size of the total moment ... 0.0 μB per formula unit
Energy relative to the lowest polymorph listed for this composition ... 0.00 eV per formula unit
Electronic total energy ... -30.29 eV/cell
Formation energy without anion corrections ... 332 meV per atom

# NpMnS4

An optimized crystal structure of NpMnS4 (PBE, Alexandria via LeMat-Bulk).

a b c (Å): 3.7819 6.1401 6.6781
angles (deg): 106.48 90.00 90.00
Each line ends with the local moment (μB).
Sites, in units of the cell vectors:
Np  0.5000  0.0000  0.5000  2.89
S  0.5000  0.7140  0.7112  -0.12
S  0.5000  0.2860  0.2888  -0.12
S  0.0000  0.2598  0.7220  -0.11
S  0.0000  0.7402  0.2780  -0.11
Mn  0.0000  0.5000  0.5000  3.43

Size of the total moment ... 6.0 μB per formula unit
Energy relative to the lowest polymorph listed for this composition ... 0.00 eV per formula unit
Electronic total energy ... -43.67 eV/cell
Formation energy without anion corrections ... -842 meV per atom

# CsYIn3

An optimized crystal structure of CsYIn3 (PBE, Alexandria via LeMat-Bulk).

a b c (Å): 6.0731 6.0731 6.0731
angles (deg): 90.00 90.00 90.00
Each line ends with the local moment (μB).
Sites, in units of the cell vectors:
Y  0.0000  0.0000  0.0000  0.45
In  0.0000  0.0000  0.5000  0.12
In  0.0000  0.5000  0.0000  0.12
In  0.5000  0.0000  0.0000  0.12
Cs  0.5000  0.5000  0.5000  0.01

DFT formation energy ... 0.2138 eV per atom
Size of the total moment ... 1.8 μB per formula unit
Energy relative to the lowest polymorph listed for this composition ... 0.00 eV per formula unit
Electronic total energy ... -14.46 eV/cell

# Cd2In3I8

An optimized crystal structure of Cd2In3I8 (PBE, Alexandria via LeMat-Bulk).

a b c (Å): 8.0085 10.0319 9.2895
angles (deg): 122.68 107.55 90.00
Sites, in units of the cell vectors:
Cd  0.6283  0.6793  0.3585
Cd  0.3717  0.3207  0.6415
I  0.2472  0.1338  0.7435
I  0.7956  0.8782  0.7564
I  0.2044  0.1218  0.2436
I  0.2472  0.6098  0.7435
I  0.7472  0.3593  0.7186
I  0.7528  0.3902  0.2565
I  0.7528  0.8662  0.2565
I  0.2528  0.6407  0.2814
In  0.0000  0.7274  0.0000
In  0.0000  0.2726  0.0000
In  0.5000  0.0000  0.0000

Size of the total moment ... 0.0 μB per formula unit
Energy relative to the lowest polymorph listed for this composition ... 0.00 eV per formula unit
Electronic total energy ... -28.51 eV/cell
Formation energy without anion corrections ... -466 meV per atom

# Ca7Ge2P2

An optimized crystal structure of Ca7Ge2P2 (PBE, Alexandria via LeMat-Bulk).

a b c (Å): 6.9664 6.9541 6.9664
angles (deg): 90.00 97.07 90.00
Sites, in units of the cell vectors:
Ca  0.0000  0.7420  0.5000
Ca  0.5000  0.7420  0.0000
Ca  0.5000  0.2517  0.5000
Ca  0.5000  0.7483  0.5000
Ca  0.5000  0.2580  0.0000
Ca  0.0000  0.0000  0.0000
Ca  0.0000  0.2580  0.5000
Ge  0.7679  0.5000  0.7679
Ge  0.2321  0.5000  0.2321
P  0.7254  0.0000  0.2746
P  0.2746  0.0000  0.7254

DFT formation energy ... -0.6918 eV per atom
Size of the total moment ... 0.0 μB per formula unit
Electronic total energy ... -41.68 eV/cell